(1)
VASP calculation (PBE) on RbEr2NpO8 after structural relaxation. Values from VASP.

DOS(E_F) = 0.089 states/eV/atom
space group = No. 10

Quantum ESPRESSO input file:
```
&SYSTEM
  ibrav = 0, nat = 12, ntyp = 4
/
ATOMIC_SPECIES
O 16.00 O.upf
Er 167.26 Er.upf
Rb 85.47 Rb.upf
Np 237.00 Np.upf
ATOMIC_POSITIONS angstrom
O -1.5964 -5.5764 4.8529
O -1.5668 -8.3269 3.5820
O -1.8388 -3.7868 -1.4700
Er -0.9219 -6.3392 2.8473
O -1.8684 -1.0363 -0.1991
Rb 1.4082 -2.9338 2.0455
O -3.3614 -1.8973 2.2881
Er -2.5134 -3.0240 0.5357
O -0.0738 -7.4659 1.0948
O -2.3744 -5.0639 1.5954
Np 0.0000 0.0000 0.0000
O -1.0608 -4.2993 1.7876
CELL_PARAMETERS angstrom
-4.3285 -0.2170 2.6695
-1.9230 -3.2786 -3.3776
2.8164 -5.8676 4.0911
```

(2)
VASP calculation (PBE) on RbErNpO6 after structural relaxation. Values from VASP.

DOS(E_F) = 0.865 states/eV/atom
space group = No. 74

Quantum ESPRESSO input file:
```
&SYSTEM
  ibrav = 0, nat = 18, ntyp = 4
/
ATOMIC_SPECIES
O 16.00 O.upf
Rb 85.47 Rb.upf
Er 167.26 Er.upf
Np 237.00 Np.upf
ATOMIC_POSITIONS angstrom
O 1.2140 4.8265 2.2307
O 4.1961 -0.8750 4.6022
O 4.2523 -3.2979 3.2548
O 3.6313 4.4582 0.1405
O 1.2276 2.4689 6.4709
O 0.5372 2.4226 3.6719
Rb 1.1403 -0.9665 1.7856
O 4.1824 1.4826 0.3619
Er 2.8006 -0.6586 -2.7018
O 4.2387 -0.9404 -0.9854
O 1.2839 0.0460 5.1236
O 1.8350 -2.9297 5.3451
O 4.9292 -0.8941 1.8137
Rb 4.3260 2.4950 3.6999
Er 2.7217 2.7405 -0.8116
O 1.2702 2.4035 0.8834
Np -0.0789 3.3991 1.8902
Np -0.0675 1.4228 5.4446
CELL_PARAMETERS angstrom
-0.1578 6.7982 3.7803
0.0229 -3.9525 7.1088
5.6013 -1.3171 -5.4036
```

(3)
VASP calculation (PBE) on Rb3Er3NpO8 after structural relaxation. Values from VASP.

DOS(E_F) = 0.728 states/eV/atom
space group = No. 166

Quantum ESPRESSO input file:
```
&SYSTEM
  ibrav = 0, nat = 15, ntyp = 4
/
ATOMIC_SPECIES
O 16.00 O.upf
Rb 85.47 Rb.upf
Er 167.26 Er.upf
Np 237.00 Np.upf
ATOMIC_POSITIONS angstrom
O -0.2236 2.9477 -0.3671
O -2.2578 5.0342 -1.1471
Rb -2.7574 -0.5072 -2.0426
O -2.0101 3.4378 1.9230
Er -2.3235 1.3337 2.8062
O -4.6205 1.2859 2.9733
O -4.8260 2.9199 -0.1628
Er 0.0313 5.0411 -1.2935
O -0.4291 4.5817 -3.5032
Er -2.5248 2.9338 -0.2649
O -2.7918 0.8334 0.6172
Np 0.2326 3.4410 1.7776
Rb 0.0000 0.0000 0.0000
O -3.0394 2.4298 -2.4528
Rb -2.5561 -2.1073 1.0286
CELL_PARAMETERS angstrom
-0.4026 3.2002 -6.1423
-5.1123 -4.2146 2.0572
0.4653 6.8820 3.5553
```

(4)
VASP calculation (PBE) on Rb4ErNp3O12 after structural relaxation. Values from VASP.

DOS(E_F) = 0.322 states/eV/atom
space group = No. 229

Quantum ESPRESSO input file:
```
&SYSTEM
  ibrav = 0, nat = 20, ntyp = 4
/
ATOMIC_SPECIES
O 16.00 O.upf
Er 167.26 Er.upf
Rb 85.47 Rb.upf
Np 237.00 Np.upf
ATOMIC_POSITIONS angstrom
O -1.2474 3.5283 3.0556
O 1.2474 -0.8821 4.5834
Er 0.0000 0.0000 0.0000
Rb -1.2474 -1.7642 3.0556
O 1.3243 -0.9364 1.6219
O 3.7423 0.0000 3.0556
Np 2.4949 3.5283 0.0000
O 3.6655 5.1838 0.0000
O 3.7423 2.6462 1.5278
O 3.6655 -2.5919 4.4893
O -1.2474 0.8821 4.5834
O -1.3243 0.9364 1.6219
Np -2.4949 1.7642 3.0556
Np 2.4949 -1.7642 3.0556
Rb 1.2474 1.7642 3.0556
O -3.6655 2.5919 4.4893
Rb -1.2474 3.5283 0.0000
O 1.3243 1.8729 0.0000
Rb 3.7423 0.0000 0.0000
O 1.2474 4.4104 1.5278
CELL_PARAMETERS angstrom
7.4847 0.0000 0.0000
-2.4949 7.0566 0.0000
-2.4949 -3.5283 6.1112
```

(5)
VASP calculation (PBE) on Rb2Er3NpO8 after structural relaxation. Values from VASP.

DOS(E_F) = 0.557 states/eV/atom
space group = No. 160

Quantum ESPRESSO input file:
```
&SYSTEM
  ibrav = 0, nat = 14, ntyp = 4
/
ATOMIC_SPECIES
O 16.00 O.upf
Er 167.26 Er.upf
Rb 85.47 Rb.upf
Np 237.00 Np.upf
ATOMIC_POSITIONS angstrom
O -4.1412 -0.5659 0.3580
O -6.9401 -2.4228 -0.7482
O -9.3645 -3.9006 2.2408
Er -7.6621 -4.4935 3.2814
Rb -4.4441 -1.9357 2.6362
Np -12.3173 -1.2170 0.2747
Er -7.9024 -1.6875 4.9367
O -6.8577 -2.5758 3.3707
O -10.4295 -0.7659 -0.2159
Er -10.5854 -3.1054 3.7274
O -12.5918 -2.4583 2.3391
Rb -8.3747 -1.5493 1.4104
O -9.5891 -1.2788 3.7874
O -7.2270 0.9266 1.2276
CELL_PARAMETERS angstrom
-6.2898 2.9866 0.9595
-5.7727 -3.0508 -2.6020
-4.7066 -3.1228 4.6105
```

(6)
VASP calculation (PBE) on Rb2ErNp3O12 after structural relaxation. Values from VASP.

DOS(E_F) = 0.581 states/eV/atom
space group = No. 166

Quantum ESPRESSO input file:
```
&SYSTEM
  ibrav = 0, nat = 18, ntyp = 4
/
ATOMIC_SPECIES
O 16.00 O.upf
Rb 85.47 Rb.upf
Np 237.00 Np.upf
Er 167.26 Er.upf
ATOMIC_POSITIONS angstrom
O 1.5343 -7.8859 -6.1119
O 5.3085 -9.4911 -8.7277
O 1.1780 -4.0486 -9.1716
O 3.7050 -2.9969 -8.1469
O 4.0122 -2.2933 -3.3433
Rb 3.2736 -6.7998 -8.9091
Np -0.3721 -0.5242 -3.8183
O 4.9669 -5.8121 -11.6612
O -0.1958 -5.8940 -7.3691
Er 0.0000 0.0000 0.0000
O -0.0693 -1.3918 -5.5311
Rb 1.9657 -4.0831 -5.3497
Np -0.0835 -3.6316 -1.3406
O 4.0613 -6.8342 -5.0872
Np 3.0752 -1.2856 -1.9705
O 1.2271 -8.5896 -10.9154
O 0.2723 -5.0708 -2.5976
O 5.4351 -4.9889 -6.8897
CELL_PARAMETERS angstrom
-0.7441 -1.0484 -7.6366
6.1505 -2.5713 -3.9409
-0.1671 -7.2632 -2.6812
```

(7)
VASP calculation (PBE) on Er2NpRhO8 after structural relaxation. Values from VASP.

DOS(E_F) = 0.753 states/eV/atom
space group = No. 10

Quantum ESPRESSO input file:
```
&SYSTEM
  ibrav = 0, nat = 12, ntyp = 4
/
ATOMIC_SPECIES
Rh 102.91 Rh.upf
Np 237.00 Np.upf
O 16.00 O.upf
Er 167.26 Er.upf
ATOMIC_POSITIONS angstrom
Rh 0.0019 0.0037 3.3048
Np 0.0000 0.0000 0.0000
O 0.8405 4.0713 1.6474
O 0.8424 4.0750 4.9524
O 4.0865 0.8358 1.6491
O 1.4473 1.4309 -0.0023
O 1.4120 1.4014 3.3025
O 4.0884 0.8396 4.9541
Er 2.4654 2.4573 4.8880
Er 2.4635 2.4536 1.7134
O 3.4816 3.4799 6.6038
O 3.5169 3.5094 3.2990
CELL_PARAMETERS angstrom
5.0061 -0.0968 -0.0027
-0.0810 5.0002 -0.0054
0.0038 0.0074 6.6096
```

(8)
VASP calculation (PBE) on ErNpS2O after structural relaxation. Values from VASP.

DOS(E_F) = 1.277 states/eV/atom
space group = No. 129

Quantum ESPRESSO input file:
```
&SYSTEM
  ibrav = 0, nat = 10, ntyp = 4
/
ATOMIC_SPECIES
S 32.06 S.upf
Np 237.00 Np.upf
Er 167.26 Er.upf
O 16.00 O.upf
ATOMIC_POSITIONS angstrom
S 1.9160 0.0000 4.1756
Np 1.9160 0.0000 8.0668
S 0.0000 1.9160 1.2754
S 1.9160 0.0000 12.3071
Np 0.0000 1.9160 5.5156
Er 0.0000 1.9160 11.9944
S 0.0000 1.9160 9.4069
O 1.9160 1.9160 6.7912
O 0.0000 0.0000 6.7912
Er 1.9160 0.0000 1.5880
CELL_PARAMETERS angstrom
3.8319 0.0000 0.0000
0.0000 3.8319 0.0000
0.0000 0.0000 13.5825
```

(9)
VASP calculation (PBE) on ErNpSc2O8 after structural relaxation. Values from VASP.

space group = No. 65

Quantum ESPRESSO input file:
```
&SYSTEM
  ibrav = 0, nat = 12, ntyp = 4
/
ATOMIC_SPECIES
Np 237.00 Np.upf
O 16.00 O.upf
Er 167.26 Er.upf
Sc 44.96 Sc.upf
ATOMIC_POSITIONS angstrom
Np 0.0000 0.0000 0.0000
O 0.9633 3.9553 5.2066
O 0.9610 3.9510 1.5443
O 3.3676 3.3471 3.3748
Er 0.0020 0.0038 3.3804
O 3.9607 0.9401 5.2081
O 1.5541 1.5441 3.3776
O 3.5033 3.4836 6.7547
O 3.9584 0.9358 1.5458
Sc 2.4618 2.4473 4.9364
O 1.4184 1.4076 -0.0023
Sc 2.4599 2.4439 1.8160
CELL_PARAMETERS angstrom
4.9016 -0.0175 -0.0030
0.0160 4.9011 -0.0055
0.0041 0.0076 6.7608
```

(10)
VASP calculation (PBE) on ErNpScO6 after structural relaxation. Values from VASP.

space group = No. 163

Quantum ESPRESSO input file:
```
&SYSTEM
  ibrav = 0, nat = 18, ntyp = 4
/
ATOMIC_SPECIES
Er 167.26 Er.upf
O 16.00 O.upf
Np 237.00 Np.upf
Sc 44.96 Sc.upf
ATOMIC_POSITIONS angstrom
Er 0.0000 0.0000 0.0000
O 1.4442 -3.3463 1.1453
O 1.6604 -1.5630 3.2280
O 5.4802 -3.2094 7.0784
O -0.7629 -1.3043 1.7395
O 3.0569 -2.9507 5.5899
Np 0.1544 -2.8952 2.7090
O 3.7322 -0.0002 5.1071
O 5.8340 -2.1629 4.5596
Sc 1.7052 -2.5191 7.1767
O 6.0013 -0.2201 6.6459
Er 1.5508 0.3761 4.4677
O -1.2840 -4.2936 2.1720
O 0.9851 -4.5135 3.7108
O -1.1167 -2.3508 4.2583
Sc 3.0121 -1.9946 1.6412
O 3.2731 -1.1674 7.6726
Np 4.5629 -1.6185 6.1089
CELL_PARAMETERS angstrom
-3.4788 -3.9840 1.5429
5.0945 -1.2820 -1.6604
3.1016 0.7522 8.9354
```

(11)
VASP calculation (PBE) on ErNpSeO2 after structural relaxation. Values from VASP.

DOS(E_F) = 1.824 states/eV/atom
space group = No. 107

Quantum ESPRESSO input file:
```
&SYSTEM
  ibrav = 0, nat = 5, ntyp = 4
/
ATOMIC_SPECIES
Se 78.96 Se.upf
Np 237.00 Np.upf
O 16.00 O.upf
Er 167.26 Er.upf
ATOMIC_POSITIONS angstrom
Se 1.9050 1.9050 0.0062
Np 0.0000 0.0000 1.7768
O 1.9050 0.0000 3.0827
Er 1.9050 1.9050 4.2005
O 0.0000 1.9050 3.0827
CELL_PARAMETERS angstrom
3.8099 0.0000 0.0000
0.0000 3.8099 0.0000
-1.9050 -1.9050 6.0744
```

(12)
VASP calculation (PBE) on ErNpSe2O after structural relaxation. Values from VASP.

DOS(E_F) = 1.202 states/eV/atom
space group = No. 129

Quantum ESPRESSO input file:
```
&SYSTEM
  ibrav = 0, nat = 10, ntyp = 4
/
ATOMIC_SPECIES
Se 78.96 Se.upf
Er 167.26 Er.upf
Np 237.00 Np.upf
O 16.00 O.upf
ATOMIC_POSITIONS angstrom
Se 0.5999 -0.9485 2.0961
Er -1.8208 3.7642 11.9468
Se -4.5049 4.4428 11.3865
Np -3.5148 2.5153 7.3575
Se -1.2334 2.6206 9.5563
Np -0.3902 0.9790 6.1251
Er -2.0842 -0.2699 1.5357
O -1.5357 2.9897 6.2493
Se -2.6717 0.8738 3.9263
O -2.3694 0.5046 7.2333
CELL_PARAMETERS angstrom
-3.4370 -1.9639 0.0949
1.7696 -3.0064 1.8732
-3.0713 5.9795 12.4985
```

no.,uncorrected formation energy (eV per atom),calculated total energy (eV per atom)
1,-2.629,-7.854
2,-2.485,-7.842
3,-2.788,-7.401
4,-2.702,-8.040
5,-2.648,-7.522
6,-2.749,-8.573
7,-2.546,-8.303
8,-2.236,-8.380
9,-3.154,-8.973
10,-3.219,-9.172
11,-2.662,-8.843
12,-2.094,-7.980